# 1
The following is a PBE calculation of crystalline Ac2InAu7 at its relaxed geometry, from the Alexandria database.

symmetry = P-4m2 (115)

Lattice parameters (Å, degrees): 4.301 4.301 13.030 90.00 90.00 90.00
Element x y z (fractional)
In: 0.500 0.500 0.000
Au: 0.500 0.500 0.500
Au: 0.000 0.500 0.642
Ac: 0.500 0.000 0.741
Au: 0.000 0.500 0.853
Ac: 0.000 0.500 0.259
Au: 0.000 0.000 0.000
Au: 0.500 0.000 0.358
Au: 0.500 0.000 0.147
Au: 0.000 0.000 0.500

---

# 2
The following is a PBE calculation of crystalline Ac2In3Au2 at its relaxed geometry, from the Alexandria database.

excess energy over the best structure of this formula in the dataset = 0.000 kcal/mol of atoms
symmetry = C2/m (12)

Lattice parameters (Å, degrees): 4.567 6.155 7.592 97.01 90.00 111.78
Element x y z (fractional)
Ac: 0.618 0.237 0.336
In: 0.000 0.000 0.000
In: 0.693 0.387 0.872
Au: 0.098 0.195 0.648
In: 0.307 0.613 0.128
Au: 0.902 0.805 0.352
Ac: 0.382 0.763 0.664

---

# 3
The following is a PBE calculation of crystalline AcIn2Au8 at its relaxed geometry, from the Alexandria database.

symmetry = P4/mmm (123)

Lattice parameters (Å, degrees): 5.535 5.535 9.481 90.00 90.00 90.00
Element x y z (fractional)
Ac: 0.500 0.500 0.500
Au: 0.753 0.247 0.235
Au: 0.247 0.247 0.765
Au: 0.247 0.753 0.235
In: 0.500 0.000 0.000
Au: 0.753 0.753 0.235
Au: 0.753 0.247 0.765
In: 0.000 0.500 0.000
Au: 0.753 0.753 0.765
Au: 0.247 0.247 0.235
Au: 0.247 0.753 0.765

---

| no. | formation enthalpy at 0 K (eV per atom) |
| --- | --- |
| 1 | -0.566 |
| 2 | -0.580 |
| 3 | -0.151 |